[1]
A relaxed structure of NaGaNiTe3. Source: OQMD, functional GGA-PBE.

POSCAR file:
```
NaGaNiTe3
1.0
-6.6424 -0.1211 0.8441
5.5724 -3.6734 0.5514
1.3340 3.6785 11.0253
Ga Te Na Ni
2 6 2 2
Direct
0.5000 0.5000 0.5000
0.5000 0.5000 0.0000
0.8496 0.1504 0.4508
0.5240 0.4760 0.2500
0.1504 0.8496 0.5492
0.4760 0.5240 0.7500
0.8496 0.1504 0.0492
0.1504 0.8496 0.9508
0.2357 0.7643 0.2500
0.7643 0.2357 0.7500
0.9171 0.0829 0.2500
0.0829 0.9171 0.7500
```

Summary:
Volume (Å³/atom): 25.940
SG: No. 63
E_tot (eV/f.u.): -21.08

---

[2]
A relaxed structure of NaZrGaNi. Source: OQMD, functional GGA-PBE.

POSCAR file:
```
NaZrGaNi
1.0
0.4526 -4.3992 1.3758
-3.6334 -2.2559 1.7777
-2.0204 -3.3997 -2.4104
Ni Na Zr Ga
1 1 1 1
Direct
0.5000 0.5000 0.5000
0.7500 0.7500 0.7500
0.2500 0.2500 0.2500
0.0000 0.0000 0.0000
```

Summary:
Volume (Å³/atom): 17.562
SG: No. 216
E_tot (eV/f.u.): -18.42

---

Which formula does entry 2 have?
NaZrGaNi